1.
This record from Alexandria via LeMat-Bulk describes a relaxed structure of La3OsS. The functional is PBE.

abc: 5.544 5.544 5.544
angles: 90.00 90.00 90.00
Fractional positions:
S 0.500 0.500 0.500
Os 0.000 0.000 0.000
La 0.000 0.500 0.000
La 0.000 0.000 0.500
La 0.500 0.000 0.000

SG	Pm-3m (221)
E_tot	-0.2310	hartree per atom
formation energy (no corrections)	-0.259	eV per atom

2.
This record from Alexandria via LeMat-Bulk describes a relaxed structure of SmPa3Sn12. The functional is PBE.

abc: 4.680 4.681 18.575
angles: 90.00 90.00 90.00
Fractional positions:
Sm 0.000 0.000 0.000
Pa 0.000 0.000 0.254
Pa 0.000 0.000 0.500
Pa 0.000 0.000 0.746
Sn 0.500 0.500 0.000
Sn 0.500 0.500 0.252
Sn 0.500 0.500 0.500
Sn 0.500 0.500 0.748
Sn 0.500 0.000 0.128
Sn 0.500 0.000 0.376
Sn 0.500 0.000 0.624
Sn 0.500 0.000 0.872
Sn 0.000 0.500 0.128
Sn 0.000 0.500 0.376
Sn 0.000 0.500 0.624
Sn 0.000 0.500 0.872

energy of formation	-344	meV/atom
SG	P4/mmm (123)
E_tot	-0.1992	hartree per atom

3.
This record from Alexandria via LeMat-Bulk describes a relaxed structure of Sr2Ca3Sb4. The functional is PBE.

abc: 4.977 7.117 9.439
angles: 104.53 108.95 83.94
Fractional positions:
Sr 0.672 0.086 0.332
Sr 0.328 0.914 0.668
Ca 0.115 0.544 0.242
Ca 0.885 0.456 0.758
Ca 0.000 0.000 0.000
Sb 0.529 0.724 0.996
Sb 0.253 0.307 0.520
Sb 0.471 0.276 0.004
Sb 0.747 0.693 0.480

SG	P-1 (2)
E_tot	-0.1363	hartree per atom
formation energy (no corrections)	-0.837	eV per atom

Question: The lowest E_tot belongs to which entry?
Answer: La3OsS